1.
Computed, not measured: a relaxed NdErTmIn crystal at the PBE-GGA level of DFT.

The space group is F-43m (No. 216) and the conventional cell measures 7.717, 7.717 and 7.717 Å, with angles of 90.00, 90.00 and 90.00 degrees. Symmetry generates all atoms from Nd at (0.000, 0.000, 0.000), Er at (0.250, 0.250, 0.250), Tm at (0.250, 0.250, 0.750) and In at (0.000, 0.000, 0.500).

The energy above the most stable polymorph in this dataset is 0.0623 eV/atom. The formation energy comes out at -77 meV per atom. The calculated density comes out at 8604 kg/m³.

---

2.
Computed, not measured: a relaxed V2InW crystal at the PBE-GGA level of DFT.

The space group is I-42d (No. 122) and the conventional cell measures 7.190, 7.190 and 5.485 Å, with angles of 90.00, 90.00 and 90.00 degrees. Symmetry generates all atoms from V at (0.213, 0.750, 0.125), In at (0.000, 0.000, 0.500) and W at (0.000, 0.000, 0.000).

The formation energy comes out at 812 meV per atom. The calculated density comes out at 9382 kg/m³.